# 1
A plane-wave DFT calculation with PBE-GGA was carried out for a relaxed Y3Co crystal.

Cell: 3.5919 6.7144 9.0068 Å, 90.00 90.00 90.00°
Closest atoms and distances in Å follow each position.
Atoms (fractional coordinates):
Y1 0.5000 0.2427 0.1721  2 Co 2.75
Y2 0.5000 0.0000 0.5358  2 Co 2.68
Y3 0.5000 0.7573 0.1721  2 Co 2.75
Y4 0.0000 0.2573 0.8279  2 Co 2.75
Y5 0.0000 0.7427 0.8279  2 Co 2.75
Y6 0.0000 0.5000 0.4642  2 Co 2.68
Co1 0.5000 0.5000 0.6843  6 Y 2.68-2.75
Co2 0.0000 0.0000 0.3157  6 Y 2.68-2.75

* calculated total energy: -6.64 eV per atom
* calculated volume: 217.2 Å³ per cell
* E_form: -1.8 kJ/mol of atoms
* Fermi-level density of states: 10.33 states/eV per cell

***

# 2
A plane-wave DFT calculation with PBE-GGA was carried out for a relaxed SrTc2Ir crystal.

Cell: 2.8276 3.8388 7.1919 Å, 90.00 90.00 90.00°
Closest atoms and distances in Å follow each position.
Atoms (fractional coordinates):
Sr1 0.5000 0.5000 0.7500  2 Sr 2.83
Tc1 0.0000 0.0000 0.0776  1 Tc 2.48, 4 Ir 2.69
Tc2 0.0000 0.0000 0.4224  1 Tc 2.48, 4 Ir 2.69
Ir1 0.5000 0.5000 0.2500  8 Tc 2.69, 2 Ir 2.83

* calculated total energy: -7.27 eV per atom
* calculated volume: 78.1 Å³ per cell
* E_form: 53.1 kJ/mol of atoms
* Fermi-level density of states: 6.35 states/eV per cell
* offset from the most stable computed form: 0.1704 eV/atom

***

# 3
A plane-wave DFT calculation with PBE-GGA was carried out for a relaxed Y2GeP crystal.

Cell: 3.9800 4.1576 11.3478 Å, 100.56 90.00 90.00°
Closest atoms and distances in Å follow each position.
Atoms (fractional coordinates):
Y1 0.2500 0.3122 0.6244  5 P 2.77-2.88
Y2 0.7500 0.9331 0.8662  1 P 2.71, 4 Ge 2.93
Y3 0.7500 0.6878 0.3756  5 P 2.77-2.88
Y4 0.2500 0.0669 0.1338  1 P 2.71, 4 Ge 2.93
P1 0.7500 0.8119 0.6237  6 Y 2.71-2.88
P2 0.2500 0.1881 0.3763  6 Y 2.71-2.88
Ge1 0.2500 0.4582 0.9164  2 Ge 2.73, 4 Y 2.93
Ge2 0.7500 0.5418 0.0836  2 Ge 2.73, 4 Y 2.93

* calculated total energy: -7.00 eV per atom
* calculated volume: 184.6 Å³ per cell
* E_form: -121.4 kJ/mol of atoms
* Fermi-level density of states: 2.85 states/eV per cell
* offset from the most stable computed form: 0.0000 eV/atom

***

# 4
A plane-wave DFT calculation with PBE-GGA was carried out for a relaxed Ac2Si3Ni12Pd crystal.

Cell: 7.3489 7.3489 7.3489 Å, 63.57 63.57 63.57°
Closest atoms and distances in Å follow each position.
Atoms (fractional coordinates):
Ni1 0.6185 0.1284 0.1284  1 Si 2.19, 1 Pd 2.39
Ni2 0.6490 0.6490 0.0830  2 Si 2.21
Ni3 0.8716 0.3815 0.8716  1 Si 2.19, 1 Pd 2.39
Ni4 0.3510 0.3510 0.9170  2 Si 2.21
Ni5 0.0830 0.6490 0.6490  2 Si 2.21
Ni6 0.6490 0.0830 0.6490  2 Si 2.21
Ni7 0.3815 0.8716 0.8716  1 Si 2.19, 1 Pd 2.39
Ni8 0.1284 0.6185 0.1284  1 Si 2.19, 1 Pd 2.39
Ni9 0.8716 0.8716 0.3815  1 Si 2.19, 1 Pd 2.39
Ni10 0.3510 0.9170 0.3510  2 Si 2.21
Ni11 0.1284 0.1284 0.6185  1 Si 2.19, 1 Pd 2.39
Ni12 0.9170 0.3510 0.3510  2 Si 2.21
Si1 0.0000 0.0000 0.5000  6 Ni 2.19-2.21
Si2 0.5000 0.0000 0.0000  6 Ni 2.19-2.21
Si3 0.0000 0.5000 0.0000  6 Ni 2.19-2.21
Ac1 0.6132 0.6132 0.6132  6 Ni 2.75-2.84
Ac2 0.3868 0.3868 0.3868  6 Ni 2.75-2.84
Pd1 0.0000 0.0000 0.0000  6 Ni 2.39

* raw formation energy: 0.13 eV/atom
* calculated total energy: -5.38 eV per atom
* calculated volume: 302.8 Å³ per cell
* Fermi-level density of states: 10.05 states/eV per cell

***

# 5
A plane-wave DFT calculation with PBE-GGA was carried out for a relaxed VGePt crystal.

Cell: 4.0512 3.4233 6.5016 Å, 90.00 100.30 90.00°
Closest atoms and distances in Å follow each position.
Atoms (fractional coordinates):
V1 0.2531 0.2500 0.5032  4 Ge 2.62-2.84, 4 V 2.64-2.67, 3 Pt 2.70-2.88
V2 0.7469 0.7500 0.4968  4 Ge 2.62-2.84, 4 V 2.64-2.67, 3 Pt 2.70-2.88
Pt1 0.6780 0.2500 0.1706  5 Ge 2.55-2.70, 2 V 2.70
Pt2 0.3220 0.7500 0.8294  5 Ge 2.55-2.70, 2 V 2.70
Ge1 0.1708 0.7500 0.1935  5 Pt 2.55-2.70, 4 V 2.62-2.84
Ge2 0.8292 0.2500 0.8065  5 Pt 2.55-2.70, 4 V 2.62-2.84

* calculated total energy: -7.01 eV per atom
* calculated volume: 88.7 Å³ per cell
* E_form: -40.3 kJ/mol of atoms
* Fermi-level density of states: 3.13 states/eV per cell